# 1
Density functional theory data (PBE) for a geometry-optimized TcGeMo3 structure.

Properties
Excess energy over the best structure of this formula in the dataset ... 77 meV/atom
SG ... Pm-3m, No. 221
VASP energy ... -7.888 eV per atom
Formation energy ... 1.607 eV per atom
Spin magnetization ... 1.86 μB/cell

Cell and atoms, written as CIF:
```
data_TcGeMo3
_space_group_name_H-M_alt 'P 1'
_space_group_IT_number 1
_cell_length_a 4.703
_cell_length_b 4.703
_cell_length_c 4.703
_cell_angle_alpha 90.00
_cell_angle_beta 90.00
_cell_angle_gamma 90.00
loop_
_space_group_symop_operation_xyz
'x,y,z'
loop_
_atom_site_label
_atom_site_fract_x
_atom_site_fract_y
_atom_site_fract_z
Tc1 0.000 0.000 0.000
Ge1 0.500 0.500 0.500
Mo1 0.000 0.000 0.500
Mo2 0.000 0.500 0.000
Mo3 0.500 0.000 0.000
```

---

# 2
Density functional theory data (PBE) for a geometry-optimized Tb2Dy9Er3 structure.

Properties
SG ... P-1, No. 2
VASP energy ... -4.477 eV per atom
Formation energy ... 0.121 eV per atom
Spin magnetization ... 0.00 μB/cell

Cell and atoms, written as CIF:
```
data_Tb2Dy9Er3
_space_group_name_H-M_alt 'P 1'
_space_group_IT_number 1
_cell_length_a 6.170
_cell_length_b 8.666
_cell_length_c 8.701
_cell_angle_alpha 79.47
_cell_angle_beta 77.36
_cell_angle_gamma 87.49
loop_
_space_group_symop_operation_xyz
'x,y,z'
loop_
_atom_site_label
_atom_site_fract_x
_atom_site_fract_y
_atom_site_fract_z
Tb1 0.048 0.032 0.299
Tb2 0.952 0.968 0.701
Dy1 0.010 0.753 0.081
Dy2 0.153 0.333 0.506
Dy3 0.309 0.384 0.102
Dy4 0.412 0.687 0.304
Dy5 0.500 0.000 0.500
Dy6 0.588 0.313 0.696
Dy7 0.691 0.616 0.898
Dy8 0.847 0.667 0.494
Dy9 0.990 0.247 0.919
Er1 0.249 0.620 0.725
Er2 0.500 0.000 0.000
Er3 0.751 0.380 0.275
```